(a)
CsInHg2Bi | PBE-GGA | relaxed

abc: 5.977 5.977 5.925
angles: 90.00 90.00 90.00
Atoms (fractional coordinates):
Cs: 0.500 0.500 0.500
Bi: 0.000 0.000 0.500
Hg: 0.000 0.500 0.000
Hg: 0.500 0.000 0.000
In: 0.000 0.000 0.000

As for the volume: 42.330 Å³ per atom. The value obtained for the total magnetization is 0.00 Bohr magnetons per cell.

***

(b)
CsInHg2Bi | PBE-GGA | relaxed

abc: 5.121 5.391 7.439
angles: 111.24 110.13 90.00
Atoms (fractional coordinates):
Hg: 0.691 0.191 0.382
Hg: 0.065 0.065 0.130
Cs: 0.448 0.448 0.895
In: 0.184 0.684 0.367
Bi: 0.825 0.825 0.650

As for the volume: 35.579 Å³ per atom. The value obtained for the total magnetization is 0.00 Bohr magnetons per cell.

***

Stability, highest: (b)

***

(a)
CsInHgBi | PBE-GGA | relaxed

abc: 5.860 5.860 5.860
angles: 60.00 60.00 60.00
Atoms (fractional coordinates):
In: 0.000 0.000 0.000
Cs: 0.750 0.750 0.750
Bi: 0.250 0.250 0.250
Hg: 0.500 0.500 0.500

As for the volume: 35.580 Å³ per atom. The value obtained for the total magnetization is 0.00 Bohr magnetons per cell.

***

(b)
CsInHgBi | PBE-GGA | relaxed

abc: 4.703 6.669 5.800
angles: 78.50 90.00 110.65
Atoms (fractional coordinates):
Hg: 0.299 0.598 0.235
Bi: 0.868 0.736 0.876
Cs: 0.563 0.126 0.379
In: 0.224 0.449 0.749

As for the volume: 41.578 Å³ per atom. The value obtained for the total magnetization is 0.00 Bohr magnetons per cell.

***

Stability, highest: (b)

***

(a)
CsKHg2Bi | PBE-GGA | relaxed

abc: 6.103 6.103 6.569
angles: 90.00 90.00 90.00
Atoms (fractional coordinates):
Cs: 0.500 0.500 0.500
Bi: 0.000 0.000 0.000
Hg: 0.000 0.500 0.000
Hg: 0.500 0.000 0.000
K: 0.000 0.000 0.500

As for the volume: 48.931 Å³ per atom. The value obtained for the total magnetization is 0.00 Bohr magnetons per cell.

***

(b)
CsKHg2Bi | PBE-GGA | relaxed

abc: 5.806 5.110 8.189
angles: 108.18 110.76 90.00
Atoms (fractional coordinates):
K: 0.194 0.694 0.388
Cs: 0.448 0.448 0.896
Hg: 0.037 0.037 0.074
Hg: 0.706 0.206 0.413
Bi: 0.827 0.827 0.654

As for the volume: 42.834 Å³ per atom. The value obtained for the total magnetization is 0.00 Bohr magnetons per cell.

***

Stability, highest: (b)

***

(a)
CsLiHg2Bi | PBE-GGA | relaxed

abc: 5.660 5.660 5.408
angles: 90.00 90.00 90.00
Atoms (fractional coordinates):
Hg: 0.000 0.500 0.000
Hg: 0.500 0.000 0.000
Li: 0.000 0.000 0.000
Cs: 0.500 0.500 0.500
Bi: 0.000 0.000 0.500

As for the volume: 34.655 Å³ per atom. The value obtained for the total magnetization is 0.00 Bohr magnetons per cell.

***

(b)
CsLiHg2Bi | PBE-GGA | relaxed

abc: 6.083 6.083 5.434
angles: 90.00 90.00 90.00
Atoms (fractional coordinates):
Li: 0.000 0.000 0.500
Bi: 0.000 0.000 0.000
Cs: 0.500 0.500 0.500
Hg: 0.500 0.000 0.000
Hg: 0.000 0.500 0.000

As for the volume: 40.220 Å³ per atom. The value obtained for the total magnetization is 0.00 Bohr magnetons per cell.

***

Stability, highest: (a)

***

(a)
CsHgBiPb | PBE-GGA | relaxed

abc: 5.052 5.052 8.378
angles: 72.45 72.45 60.00
Atoms (fractional coordinates):
Hg: 0.249 0.249 0.252
Pb: 0.635 0.635 0.094
Bi: 0.028 0.028 0.916
Cs: 0.813 0.813 0.561

As for the volume: 43.390 Å³ per atom. The value obtained for the total magnetization is 0.00 Bohr magnetons per cell.

***

(b)
CsHgBiPb | PBE-GGA | relaxed

abc: 5.960 5.960 5.960
angles: 60.00 60.00 60.00
Atoms (fractional coordinates):
Hg: 0.000 0.000 0.000
Pb: 0.750 0.750 0.750
Bi: 0.500 0.500 0.500
Cs: 0.250 0.250 0.250

As for the volume: 37.434 Å³ per atom. The value obtained for the total magnetization is 0.00 Bohr magnetons per cell.

***

Stability, highest: (a)

***

(a)
CsRb2HgBi | PBE-GGA | relaxed

abc: 7.258 7.258 7.617
angles: 90.00 90.00 90.00
Atoms (fractional coordinates):
Bi: 0.000 0.000 0.000
Rb: 0.500 0.000 0.000
Rb: 0.000 0.500 0.000
Hg: 0.500 0.500 0.500
Cs: 0.000 0.000 0.500

As for the volume: 80.265 Å³ per atom. The value obtained for the total magnetization is 0.00 Bohr magnetons per cell.

***

(b)
CsRb2HgBi | PBE-GGA | relaxed

abc: 7.404 7.404 5.990
angles: 90.00 90.00 90.00
Atoms (fractional coordinates):
Rb: 0.000 0.500 0.000
Rb: 0.500 0.000 0.000
Bi: 0.000 0.000 0.000
Cs: 0.500 0.500 0.500
Hg: 0.000 0.000 0.500

As for the volume: 65.684 Å³ per atom. The value obtained for the total magnetization is 0.00 Bohr magnetons per cell.

***

Stability, highest: (a)

***

(a)
Cs2TlHgBi | PBE-GGA | relaxed

abc: 5.539 9.239 9.300
angles: 107.61 90.00 90.00
Atoms (fractional coordinates):
Cs: 0.750 0.862 0.622
Cs: 0.250 0.138 0.378
Cs: 0.250 0.317 0.937
Cs: 0.750 0.683 0.063
Hg: 0.750 0.096 0.063
Hg: 0.250 0.904 0.937
Bi: 0.750 0.372 0.654
Bi: 0.250 0.628 0.346
Tl: 0.750 0.424 0.328
Tl: 0.250 0.576 0.672

As for the volume: 45.365 Å³ per atom. The value obtained for the total magnetization is 0.00 Bohr magnetons per cell.

***

(b)
Cs2TlHgBi | PBE-GGA | relaxed

abc: 7.624 7.624 6.120
angles: 90.00 90.00 90.00
Atoms (fractional coordinates):
Tl: 0.000 0.000 0.500
Cs: 0.000 0.500 0.000
Cs: 0.500 0.000 0.000
Bi: 0.000 0.000 0.000
Hg: 0.500 0.500 0.500

As for the volume: 71.151 Å³ per atom. The value obtained for the total magnetization is 0.00 Bohr magnetons per cell.

***

Stability, highest: (a)

***

(a)
Cs2BiI | PBE-GGA | relaxed

abc: 10.566 10.566 8.445
angles: 51.28 51.28 90.00
Last column: magnetic moment on the atom in μB.
Atoms (fractional coordinates):
I: 0.250 0.750 0.500  0.00
I: 0.500 0.500 0.000  0.00
Cs: 0.375 0.392 0.750  0.01
Cs: 0.875 0.858 0.750  0.01
Cs: 0.142 0.625 0.250  0.01
Cs: 0.608 0.125 0.250  0.01
Bi: 0.000 0.000 0.000  0.42
Bi: 0.750 0.250 0.500  0.43

As for the volume: 54.946 Å³ per atom. The value obtained for the total magnetization is 1.54 Bohr magnetons per cell.

***

(b)
Cs2BiI | PBE-GGA | relaxed

abc: 4.613 4.624 11.877
angles: 101.19 90.00 119.92
Atoms (fractional coordinates):
I: 0.585 0.925 0.552
Cs: 0.841 0.439 0.323
Cs: 0.327 0.410 0.782
Bi: 0.083 0.925 0.052

As for the volume: 53.503 Å³ per atom. The value obtained for the total magnetization is 0.00 Bohr magnetons per cell.

***

(c)
Cs2BiI | PBE-GGA | relaxed

abc: 6.708 6.708 6.708
angles: 60.00 60.00 60.00
Last column: magnetic moment on the atom in μB.
Atoms (fractional coordinates):
Bi: 0.500 0.500 0.500  1.04
Cs: 0.250 0.250 0.250  0.03
Cs: 0.750 0.750 0.750  0.03
I: 0.000 0.000 0.000  0.07

As for the volume: 53.347 Å³ per atom. The value obtained for the total magnetization is 2.00 Bohr magnetons per cell.

***

Stability, highest: (b)

***

(a)
Cs5Bi2I12 | PBE-GGA | relaxed

abc: 8.936 11.619 12.635
angles: 107.09 90.00 112.61
Last column: magnetic moment on the atom in μB.
Atoms (fractional coordinates):
I: 0.102 0.698 0.926  0.00
I: 0.579 0.710 0.430  0.16
I: 0.996 0.992 0.825  0.00
I: 0.496 0.992 0.821  0.00
I: 0.421 0.290 0.570  0.16
I: 0.596 0.698 0.926  0.00
I: 0.004 0.008 0.175  0.00
I: 0.504 0.008 0.179  0.00
I: 0.404 0.302 0.074  0.00
I: 0.898 0.302 0.074  0.00
I: 0.131 0.710 0.430  0.16
I: 0.869 0.290 0.570  0.16
Bi: 0.250 0.000 0.000  0.00
Bi: 0.750 0.000 0.000  0.00
Cs: 0.705 0.410 0.356  0.00
Cs: 0.000 0.000 0.500  0.00
Cs: 0.295 0.590 0.644  0.00
Cs: 0.691 0.382 0.843  0.00
Cs: 0.309 0.618 0.157  0.00

As for the volume: 60.424 Å³ per atom. The value obtained for the total magnetization is 1.07 Bohr magnetons per cell.

***

(b)
Cs5Bi2I12 | PBE-GGA | relaxed

abc: 10.945 11.322 11.322
angles: 70.54 69.55 69.55
Last column: magnetic moment on the atom in μB.
Atoms (fractional coordinates):
Cs: 0.033 0.250 0.250  0.00
Cs: 0.479 0.346 0.346  0.00
Cs: 0.521 0.654 0.654  0.00
Cs: 0.967 0.750 0.750  0.00
Cs: 0.500 0.000 0.000  0.00
I: 0.207 0.270 0.880  0.06
I: 0.829 0.113 0.113  0.01
I: 0.793 0.730 0.120  0.06
I: 0.186 0.541 0.183  0.00
I: 0.171 0.887 0.887  0.01
I: 0.814 0.817 0.459  0.00
I: 0.814 0.459 0.817  0.00
I: 0.274 0.566 0.566  0.22
I: 0.186 0.183 0.541  0.00
I: 0.207 0.880 0.270  0.06
I: 0.793 0.120 0.730  0.06
I: 0.726 0.434 0.434  0.22
Bi: 0.000 0.188 0.812  0.00
Bi: 0.000 0.812 0.188  0.00

As for the volume: 62.917 Å³ per atom. The value obtained for the total magnetization is 1.11 Bohr magnetons per cell.

***

Stability, highest: (a)

***

(a)
Cs2Bi2I | PBE-GGA | relaxed

abc: 11.475 11.475 3.859
angles: 90.00 90.00 90.00
Atoms (fractional coordinates):
Bi: 0.588 0.912 0.500
Bi: 0.412 0.088 0.500
Bi: 0.912 0.412 0.500
Bi: 0.088 0.588 0.500
I: 0.500 0.500 0.000
I: 0.000 0.000 0.000
Cs: 0.294 0.794 0.000
Cs: 0.706 0.206 0.000
Cs: 0.206 0.294 0.000
Cs: 0.794 0.706 0.000

As for the volume: 50.819 Å³ per atom. The value obtained for the total magnetization is 0.00 Bohr magnetons per cell.

***

(b)
Cs2Bi2I | PBE-GGA | relaxed

abc: 4.602 4.602 11.842
angles: 78.80 78.80 90.00
Atoms (fractional coordinates):
Bi: 0.250 0.750 0.500
Bi: 0.750 0.250 0.500
Cs: 0.600 0.600 0.800
Cs: 0.400 0.400 0.200
I: 0.000 0.000 0.000

As for the volume: 48.228 Å³ per atom. The value obtained for the total magnetization is 0.00 Bohr magnetons per cell.

***

Stability, highest: (b)

***

(a)
CsBiI3 | PBE-GGA | relaxed

abc: 7.128 7.128 7.128
angles: 90.00 90.00 90.00
Last column: magnetic moment on the atom in μB.
Atoms (fractional coordinates):
I: 0.000 0.000 0.500  -0.34
I: 0.500 0.000 0.000  -0.17
I: 0.000 0.500 0.000  -0.15
Cs: 0.000 0.000 0.000  -0.02
Bi: 0.500 0.500 0.500  1.34

As for the volume: 72.423 Å³ per atom. The value obtained for the total magnetization is 1.00 Bohr magnetons per cell.

***

(b)
CsBiI3 | PBE-GGA | relaxed

abc: 6.330 6.330 6.330
angles: 90.00 90.00 90.00
Atoms (fractional coordinates):
I: 0.000 0.500 0.000
I: 0.000 0.000 0.500
I: 0.500 0.000 0.000
Bi: 0.000 0.000 0.000
Cs: 0.500 0.500 0.500

As for the volume: 50.724 Å³ per atom. The value obtained for the total magnetization is 0.00 Bohr magnetons per cell.

***

Stability, highest: (b)

***

(a)
Cs3BiI | PBE-GGA | relaxed

abc: 7.392 7.392 7.392
angles: 90.00 90.00 90.00
Last column: magnetic moment on the atom in μB.
Atoms (fractional coordinates):
Cs: 0.000 0.000 0.500  0.02
Cs: 0.000 0.500 0.000  0.02
Cs: 0.500 0.000 0.000  0.02
I: 0.500 0.500 0.500  0.00
Bi: 0.000 0.000 0.000  0.46

As for the volume: 80.786 Å³ per atom. The value obtained for the total magnetization is 0.90 Bohr magnetons per cell.

***

(b)
Cs3BiI | PBE-GGA | relaxed

abc: 6.481 7.173 14.999
angles: 73.53 90.03 63.11
Atoms (fractional coordinates):
I: 0.641 0.288 0.393
I: 0.048 0.473 0.666
Cs: 0.529 0.510 0.865
Cs: 0.160 0.250 0.194
Cs: 0.483 0.603 0.126
Cs: 0.739 0.090 0.667
Cs: 0.206 0.157 0.933
Cs: 0.948 0.671 0.392
Bi: 0.890 0.788 0.945
Bi: 0.798 0.972 0.114

As for the volume: 58.958 Å³ per atom. The value obtained for the total magnetization is 0.00 Bohr magnetons per cell.

***

Stability, highest: (b)

***

(a)
CsBiIO2 | PBE-GGA | relaxed

abc: 4.712 4.712 6.318
angles: 90.00 90.00 90.00
Atoms (fractional coordinates):
O: 0.500 0.000 0.000
O: 0.000 0.500 0.000
I: 0.000 0.000 0.500
Bi: 0.000 0.000 0.000
Cs: 0.500 0.500 0.500

As for the volume: 28.058 Å³ per atom. The value obtained for the total magnetization is 0.00 Bohr magnetons per cell.

***

(b)
CsBiIO2 | PBE-GGA | relaxed

abc: 4.626 4.626 7.402
angles: 90.00 90.00 90.00
Last column: magnetic moment on the atom in μB.
Atoms (fractional coordinates):
Bi: 0.500 0.500 0.500  0.65
O: 0.000 0.500 0.000  0.37
O: 0.500 0.000 0.000  0.37
I: 0.000 0.000 0.500  0.01
Cs: 0.000 0.000 0.000  0.10

As for the volume: 31.672 Å³ per atom. The value obtained for the total magnetization is 2.00 Bohr magnetons per cell.

***

Stability, highest: (a)